Below is a geometry-optimized NaBP2O structure, with properties calculated at the PBE-GGA level.

Calculated values
VASP energy = -2.76 eV per atom
space group = P4/mmm
distance to the lowest polymorph of the same formula = 1.471 eV/atom

Structure (POSCAR):
```
NaBP2O
1.0
-0.7976 0.2074 -4.8177
-2.3784 -4.2647 0.2102
-3.3468 1.8979 0.6358
P B O Na
2 1 1 1
Direct
0.0000 0.5000 0.0000
0.5000 0.0000 0.0000
0.5000 0.5000 0.5000
0.0000 0.0000 0.5000
0.0000 0.0000 0.0000
```